(1)
## Tm2Al3Ag2 (PBE)

Data for an optimized crystal structure of Tm2Al3Ag2.

Values from the calculation:
E_tot in eV/atom: -4.070
ρ in g/cm3: 7.434
Calculated volume in Å³ per cell: 283

a b c (Å): 10.545 4.375 6.788
angles (deg): 90.00 115.16 90.00
Space group C2/m (No. 12)
Asymmetric unit:
Tm (0.149, 0.000, 0.277) (multiplicity 4)
Al (0.000, 0.500, 0.500) (multiplicity 2)
Al (0.101, 0.500, 0.933) (multiplicity 4)
Ag (0.146, 0.000, 0.735) (multiplicity 4)

=====

(2)
## TmAl2Ag3 (PBE)

Data for an optimized crystal structure of TmAl2Ag3.

Values from the calculation:
E_tot in eV/atom: -3.614
ρ in g/cm3: 7.761
Calculated volume in Å³ per cell: 468

a b c (Å): 9.820 8.443 5.641
angles (deg): 90.00 90.00 90.00
Space group Cmcm (No. 63)
Asymmetric unit:
Tm (0.000, 0.137, 0.250) (multiplicity 4)
Al (0.232, 0.500, 0.000) (multiplicity 8)
Ag (0.000, 0.494, 0.250) (multiplicity 4)
Ag (0.153, 0.224, 0.750) (multiplicity 8)

=====

(3)
## TmAl2Ag (PBE)

Data for an optimized crystal structure of TmAl2Ag.

Values from the calculation:
E_tot in eV/atom: -3.918
ρ in g/cm3: 7.084
Calculated volume in Å³ per cell: 78

a b c (Å): 3.212 3.212 7.517
angles (deg): 90.00 90.00 90.00
Space group P4/mmm (No. 123)
Asymmetric unit:
Tm (0.000, 0.000, 0.000) (multiplicity 1)
Al (0.500, 0.500, 0.283) (multiplicity 2)
Ag (0.000, 0.000, 0.500) (multiplicity 1)

=====

(4)
## Tm3Al4Ag2 (PBE)

Data for an optimized crystal structure of Tm3Al4Ag2.

Values from the calculation:
E_tot in eV/atom: -4.220
ρ in g/cm3: 7.312
Calculated volume in Å³ per cell: 377

a b c (Å): 10.588 4.590 8.611
angles (deg): 90.00 115.67 90.00
Space group C2/m (No. 12)
Asymmetric unit:
Tm (0.000, 0.000, 0.000) (multiplicity 2)
Tm (0.172, 0.500, 0.659) (multiplicity 4)
Al (0.032, 0.000, 0.368) (multiplicity 4)
Al (0.238, 0.500, 0.073) (multiplicity 4)
Ag (0.102, 0.500, 0.270) (multiplicity 4)

=====

(5)
## TmAlAg2 (PBE)

Data for an optimized crystal structure of TmAlAg2.

Values from the calculation:
E_tot in eV/atom: -3.652
ρ in g/cm3: 8.438
Calculated volume in Å³ per cell: 81

a b c (Å): 4.449 4.449 4.093
angles (deg): 90.00 90.00 90.00
Space group P4/mmm (No. 123)
Asymmetric unit:
Tm (0.000, 0.000, 0.000) (multiplicity 1)
Al (0.500, 0.500, 0.000) (multiplicity 1)
Ag (0.000, 0.500, 0.500) (multiplicity 2)

=====

(6)
## TmAl4Ag (PBE)

Data for an optimized crystal structure of TmAl4Ag.

Values from the calculation:
E_tot in eV/atom: -3.855
ρ in g/cm3: 5.585
Calculated volume in Å³ per cell: 458

a b c (Å): 7.706 7.706 7.706
angles (deg): 90.00 90.00 90.00
Space group F-43m (No. 216)
Asymmetric unit:
Tm (0.000, 0.000, 0.000) (multiplicity 4)
Al (0.126, 0.126, 0.374) (multiplicity 16)
Ag (0.250, 0.250, 0.750) (multiplicity 4)

=====

(7)
## TmAl2Ag4 (PBE)

Data for an optimized crystal structure of TmAl2Ag4.

Values from the calculation:
E_tot in eV/atom: -3.553
ρ in g/cm3: 8.376
Calculated volume in Å³ per cell: 259

a b c (Å): 6.943 6.943 5.382
angles (deg): 90.00 90.00 90.00
Space group I4/mmm (No. 139)
Asymmetric unit:
Tm (0.000, 0.000, 0.000) (multiplicity 2)
Al (0.000, 0.500, 0.250) (multiplicity 4)
Ag (0.199, 0.199, 0.500) (multiplicity 8)

=====

(8)
## TmAl2Ag9 (PBE)

Data for an optimized crystal structure of TmAl2Ag9.

Values from the calculation:
E_tot in eV/atom: -3.195
ρ in g/cm3: 8.739
Calculated volume in Å³ per cell: 907

a b c (Å): 11.363 11.363 7.027
angles (deg): 90.00 90.00 90.00
Space group I4_1/amd (No. 141, origin choice 2)
Asymmetric unit:
Tm (0.000, 0.250, 0.375) (multiplicity 4)
Al (0.000, 0.000, 0.000) (multiplicity 8)
Ag (0.000, 0.250, 0.875) (multiplicity 4)
Ag (0.122, 0.055, 0.677) (multiplicity 32)

=====

(9)
## Tm6AlAg (PBE)

Data for an optimized crystal structure of Tm6AlAg.

Values from the calculation:
E_tot in eV/atom: -4.333
ρ in g/cm3: 8.894
Calculated volume in Å³ per cell: 858

a b c (Å): 6.991 7.002 17.521
angles (deg): 90.00 90.00 90.00
Space group Fmmm (No. 69)
Asymmetric unit:
Tm (0.000, 0.000, 0.248) (multiplicity 8)
Tm (0.250, 0.250, 0.108) (multiplicity 16)
Al (0.000, 0.000, 0.000) (multiplicity 4)
Ag (0.000, 0.000, 0.500) (multiplicity 4)

=====

(10)
## Tm4AlAg3 (PBE)

Data for an optimized crystal structure of Tm4AlAg3.

Values from the calculation:
E_tot in eV/atom: -4.127
ρ in g/cm3: 9.274
Calculated volume in Å³ per cell: 184

a b c (Å): 3.541 3.541 14.653
angles (deg): 90.00 90.00 90.00
Space group P4/mmm (No. 123)
Asymmetric unit:
Tm (0.000, 0.000, 0.125) (multiplicity 2)
Tm (0.000, 0.000, 0.375) (multiplicity 2)
Al (0.500, 0.500, 0.000) (multiplicity 1)
Ag (0.500, 0.500, 0.249) (multiplicity 2)
Ag (0.500, 0.500, 0.500) (multiplicity 1)

=====

(11)
## Tm2Al2Ag (PBE)

Data for an optimized crystal structure of Tm2Al2Ag.

Values from the calculation:
E_tot in eV/atom: -4.238
ρ in g/cm3: 7.513
Calculated volume in Å³ per cell: 221

a b c (Å): 6.938 6.938 4.589
angles (deg): 90.00 90.00 90.00
Space group P4/mbm (No. 127)
Asymmetric unit:
Tm (0.168, 0.332, 0.000) (multiplicity 4)
Al (0.135, 0.635, 0.500) (multiplicity 4)
Ag (0.000, 0.000, 0.500) (multiplicity 2)

=====

(12)
## Tm4Al3Ag (PBE)

Data for an optimized crystal structure of Tm4Al3Ag.

Values from the calculation:
E_tot in eV/atom: -4.346
ρ in g/cm3: 7.632
Calculated volume in Å³ per cell: 188

a b c (Å): 3.625 4.533 11.449
angles (deg): 90.00 90.00 90.00
Space group Pmm2 (No. 25)
Asymmetric unit:
Tm (0.000, 0.000, 0.000) (multiplicity 1)
Tm (0.000, 0.500, 0.306) (multiplicity 1)
Tm (0.500, 0.000, 0.496) (multiplicity 1)
Tm (0.500, 0.500, 0.811) (multiplicity 1)
Al (0.000, 0.000, 0.721) (multiplicity 1)
Al (0.000, 0.500, 0.584) (multiplicity 1)
Al (0.500, 0.500, 0.081) (multiplicity 1)
Ag (0.500, 0.000, 0.224) (multiplicity 1)